# LiGdTiIr PBE-GGA relaxed
# Energy in eV per atom: -8.524
# SG: F-43m (216)
# Energy relative to the elements in eV per atom: -0.336
# ρ in g cm⁻³: 9.174
data_LiGdTiIr
_cell_length_a 4.695
_cell_length_b 4.695
_cell_length_c 4.695
_cell_angle_alpha 60.00
_cell_angle_beta 60.00
_cell_angle_gamma 60.00
_space_group_name_H-M_alt 'P 1'
_space_group_IT_number 1
loop_
_space_group_symop_operation_xyz
'x,y,z'
loop_
_atom_site_label
_atom_site_fract_x
_atom_site_fract_y
_atom_site_fract_z
_atom_site_occupancy
Gd1 0.750 0.750 0.750 1
Ir1 0.000 0.000 0.000 1
Li1 0.500 0.500 0.500 1
Ti1 0.250 0.250 0.250 1

=====

# BaHfMg6O8 PBE-GGA relaxed
# Offset from the most stable computed form in meV/atom: 0.0
# Energy in eV per atom: -6.013
# SG: P4/mmm (123)
# ρ in g cm⁻³: 4.923
# Formation energy (no corrections) in eV per atom: -2.19
data_BaHfMg6O8
_cell_length_a 4.689
_cell_length_b 4.689
_cell_length_c 9.046
_cell_angle_alpha 90.00
_cell_angle_beta 90.00
_cell_angle_gamma 90.00
_space_group_name_H-M_alt 'P 1'
_space_group_IT_number 1
loop_
_space_group_symop_operation_xyz
'x,y,z'
loop_
_atom_site_label
_atom_site_fract_x
_atom_site_fract_y
_atom_site_fract_z
_atom_site_occupancy
Ba1 0.000 0.000 0.000 1
Hf1 0.500 0.500 0.000 1
Mg1 0.000 0.000 0.500 1
Mg2 0.500 0.500 0.500 1
Mg3 0.000 0.500 0.274 1
Mg4 0.000 0.500 0.726 1
Mg5 0.500 0.000 0.274 1
Mg6 0.500 0.000 0.726 1
O1 0.000 0.000 0.284 1
O2 0.000 0.000 0.716 1
O3 0.500 0.500 0.249 1
O4 0.500 0.500 0.751 1
O5 0.000 0.500 0.000 1
O6 0.000 0.500 0.500 1
O7 0.500 0.000 0.000 1
O8 0.500 0.000 0.500 1

=====

# ZnCdS2N PBE-GGA relaxed
# Offset from the most stable computed form in meV/atom: 0.0
# Energy in eV per atom: -3.014
# SG: P4/mmm (123)
# ρ in g cm⁻³: 4.636
# Formation energy (no corrections) in eV per atom: 0.74
data_ZnCdS2N
_cell_length_a 4.903
_cell_length_b 4.903
_cell_length_c 3.814
_cell_angle_alpha 90.00
_cell_angle_beta 90.00
_cell_angle_gamma 90.00
_space_group_name_H-M_alt 'P 1'
_space_group_IT_number 1
loop_
_space_group_symop_operation_xyz
'x,y,z'
loop_
_atom_site_label
_atom_site_fract_x
_atom_site_fract_y
_atom_site_fract_z
_atom_site_occupancy
Zn1 0.000 0.000 0.000 1
N1 0.000 0.000 0.500 1
S1 0.000 0.500 0.000 1
S2 0.500 0.000 0.000 1
Cd1 0.500 0.500 0.500 1

=====

What is the formula in the first record?
LiGdTiIr

=====

Look up the energy of the first one.
-8.524 eV per atom

=====

Copy entry 3 word for word.
# ZnCdS2N PBE-GGA relaxed
# Offset from the most stable computed form in meV/atom: 0.0
# Energy in eV per atom: -3.014
# SG: P4/mmm (123)
# ρ in g cm⁻³: 4.636
# Formation energy (no corrections) in eV per atom: 0.74
data_ZnCdS2N
_cell_length_a 4.903
_cell_length_b 4.903
_cell_length_c 3.814
_cell_angle_alpha 90.00
_cell_angle_beta 90.00
_cell_angle_gamma 90.00
_space_group_name_H-M_alt 'P 1'
_space_group_IT_number 1
loop_
_space_group_symop_operation_xyz
'x,y,z'
loop_
_atom_site_label
_atom_site_fract_x
_atom_site_fract_y
_atom_site_fract_z
_atom_site_occupancy
Zn1 0.000 0.000 0.000 1
N1 0.000 0.000 0.500 1
S1 0.000 0.500 0.000 1
S2 0.500 0.000 0.000 1
Cd1 0.500 0.500 0.500 1